The following is a DFT calculation (PBE-GGA) of an optimized crystal structure of LiWBr2.

Cell and atoms, written as extended XYZ:
```
8
Lattice="6.224 0.000 0.000 0.000 6.224 0.000 3.112 3.112 4.768" Properties=species:S:1:pos:R:3 pbc="T T T"
Br 4.611 1.556 1.192
Br 1.613 4.668 1.192
Br 4.668 4.725 3.576
Br 7.780 7.723 3.576
W 0.000 0.000 0.000
W 6.224 3.112 2.384
Li 3.112 3.112 0.000
Li 3.112 6.224 2.384
```

## Properties
E above lowest polymorph, eV/f.u.: 1.859
Uncorrected energy, eV/cell: -32.4
Formation energy from raw total energies, eV per atom: 0.505


The following is a DFT calculation (PBE-GGA) of an optimized crystal structure of LiW2Br.

Cell and atoms, written as extended XYZ:
```
4
Lattice="-2.925 0.432 8.883 -0.883 -1.626 9.178 -0.140 1.190 9.286" Properties=species:S:1:pos:R:3 pbc="T T T"
Br -0.987 -0.001 6.837
Li -2.961 -0.003 20.510
W -3.930 -0.004 27.223
W -1.992 -0.002 13.797
```

## Properties
E above lowest polymorph, eV/f.u.: 3.073
Uncorrected energy, eV/cell: -25.5
Formation energy from raw total energies, eV per atom: 0.993


The following is a DFT calculation (PBE-GGA) of an optimized crystal structure of LiZnW2Br.

Cell and atoms, written as extended XYZ:
```
5
Lattice="4.732 0.000 0.000 0.000 6.004 0.000 0.000 0.000 4.732" Properties=species:S:1:pos:R:3 pbc="T T T"
Zn 0.000 0.000 0.000
Br 0.000 3.002 0.000
W 0.000 0.000 2.366
W 2.366 0.000 0.000
Li 2.366 3.002 2.366
```

## Properties
Uncorrected energy, eV/cell: -20.8
Formation energy from raw total energies, eV per atom: 1.987


The following is a DFT calculation (PBE-GGA) of an optimized crystal structure of Li2Y2Br.

Cell and atoms, written as extended XYZ:
```
5
Lattice="3.592 0.000 0.000 0.000 3.592 0.000 1.796 1.796 9.316" Properties=species:S:1:pos:R:3 pbc="T T T"
Y 1.796 1.796 1.924
Y 3.592 3.592 7.392
Br 0.000 0.000 0.000
Li 3.592 1.796 4.658
Li 1.796 3.592 4.658
```

## Properties
E above lowest polymorph, eV/f.u.: 0.371
Uncorrected energy, eV/cell: -19.1
Formation energy from raw total energies, eV per atom: -0.130


The following is a DFT calculation (PBE-GGA) of an optimized crystal structure of Li2YBr2.

Cell and atoms, written as extended XYZ:
```
5
Lattice="1.186 1.473 7.305 -4.154 0.757 6.253 1.746 -3.802 -6.280" Properties=species:S:1:pos:R:3 pbc="T T T"
Li -1.946 -0.965 3.376
Li 0.724 -0.607 3.902
Y 0.000 0.000 0.000
Br -1.823 1.370 8.328
Br -1.145 0.860 5.230
```

## Properties
Uncorrected energy, eV/cell: -16.9
Formation energy from raw total energies, eV per atom: -0.651


The following is a DFT calculation (PBE-GGA) of an optimized crystal structure of LiY2Br.

Cell and atoms, written as extended XYZ:
```
4
Lattice="3.540 0.000 0.000 -1.407 3.248 0.000 0.000 0.000 9.791" Properties=species:S:1:pos:R:3 pbc="T T T"
Br 0.000 0.000 5.016
Li 1.067 1.624 6.935
Y 0.000 0.000 0.013
Y 1.067 1.624 2.724
```

## Properties
E above lowest polymorph, eV/f.u.: 0.000
Uncorrected energy, eV/cell: -18.5
Formation energy from raw total energies, eV per atom: -0.499


The following is a DFT calculation (PBE-GGA) of an optimized crystal structure of LiY2Br.

Cell and atoms, written as extended XYZ:
```
4
Lattice="-1.942 6.160 5.379 -2.226 -1.324 -4.786 -3.026 -0.406 1.509" Properties=species:S:1:pos:R:3 pbc="T T T"
Br -2.626 -0.865 -1.639
Li -2.084 2.418 0.296
Y 0.000 0.000 0.000
Y -2.484 2.877 3.444
```

## Properties
E above lowest polymorph, eV/f.u.: 0.919
Uncorrected energy, eV/cell: -17.6
Formation energy from raw total energies, eV per atom: -0.269


The following is a DFT calculation (PBE-GGA) of an optimized crystal structure of Li2YBr6.

Cell and atoms, written as extended XYZ:
```
9
Lattice="-0.917 -3.953 1.191 5.188 -2.545 3.055 -0.842 1.317 11.231" Properties=species:S:1:pos:R:3 pbc="T T T"
Li 2.959 -1.550 12.150
Li 0.471 -3.631 3.327
Y 2.173 -0.614 7.143
Br 2.383 -3.070 14.169
Br 1.046 -2.111 1.308
Br 3.184 -5.522 6.647
Br 2.901 -2.411 9.248
Br 0.245 0.341 8.830
Br 0.528 -2.770 6.229
```

## Properties
Uncorrected energy, eV/cell: -32.6
Formation energy from raw total energies, eV per atom: -1.368


The following is a DFT calculation (PBE-GGA) of an optimized crystal structure of LiY2Br.

Cell and atoms, written as extended XYZ:
```
8
Lattice="8.297 0.000 0.000 0.000 8.297 0.000 4.148 4.148 3.340" Properties=species:S:1:pos:R:3 pbc="T T T"
Y 6.536 2.074 0.835
Y 1.761 6.223 0.835
Y 6.223 5.909 2.505
Y 10.371 10.684 2.505
Br 0.000 0.000 0.000
Br 8.297 4.148 1.670
Li 4.148 4.148 0.000
Li 4.148 8.297 1.670
```

## Properties
E above lowest polymorph, eV/f.u.: 1.421
Uncorrected energy, eV/cell: -34.2
Formation energy from raw total energies, eV per atom: -0.143


The following is a DFT calculation (PBE-GGA) of an optimized crystal structure of LiY2Br.

Cell and atoms, written as extended XYZ:
```
4
Lattice="-1.999 -3.000 -0.035 2.495 -1.685 1.982 -3.848 2.483 6.955" Properties=species:S:1:pos:R:3 pbc="T T T"
Br -2.232 1.440 4.033
Li -2.438 -0.609 5.828
Y -3.739 2.413 6.757
Y -0.717 -1.720 2.718
```

## Properties
E above lowest polymorph, eV/f.u.: 0.072
Uncorrected energy, eV/cell: -18.4
Formation energy from raw total energies, eV per atom: -0.481


The following is a DFT calculation (PBE-GGA) of an optimized crystal structure of LiY2Br.

Cell and atoms, written as extended XYZ:
```
4
Lattice="-1.816 -5.164 8.116 1.329 -3.599 9.006 -1.783 -1.798 9.456" Properties=species:S:1:pos:R:3 pbc="T T T"
Br -0.568 -2.640 6.644
Li -1.703 -7.920 19.933
Y -2.266 -10.541 26.529
Y -1.139 -5.300 13.338
```

## Properties
E above lowest polymorph, eV/f.u.: 0.506
Uncorrected energy, eV/cell: -18.0
Formation energy from raw total energies, eV per atom: -0.372


The following is a DFT calculation (PBE-GGA) of an optimized crystal structure of LiY2Br.

Cell and atoms, written as extended XYZ:
```
4
Lattice="3.612 0.000 0.000 0.000 5.838 0.000 0.000 0.000 5.324" Properties=species:S:1:pos:R:3 pbc="T T T"
Br 1.806 0.000 2.662
Li 0.000 2.919 2.662
Y 0.000 0.000 0.000
Y 1.806 2.919 0.000
```

## Properties
E above lowest polymorph, eV/f.u.: 1.401
Uncorrected energy, eV/cell: -17.1
Formation energy from raw total energies, eV per atom: -0.148